Entry from Alexandria: KInOs at its PBEsol-relaxed geometry (meta-GGA SCAN).

Calculated values
Energy of formation = 0.77 eV/atom
Crystal system = tetragonal
Total magnetization = 0.01 Bohr magnetons per cell
Electronic total energy = -37.092 eV per atom

CIF file:
```
data_KInOs
_chemical_formula_sum 'K2 In2 Os2'
_symmetry_space_group_name_H-M 'I 4 m m'
_symmetry_Int_Tables_number 107
_symmetry_space_group_name_Hall 'I 4 -2'
_cell_length_a 3.5667
_cell_length_b 3.5667
_cell_length_c 12.0368
_cell_angle_alpha 90.00
_cell_angle_beta 90.00
_cell_angle_gamma 90.00
loop_
_atom_site_label
_atom_site_type_symbol
_atom_site_fract_x
_atom_site_fract_y
_atom_site_fract_z
K1 K 0.0000 0.0000 0.0000
In1 In 0.0000 0.0000 0.2714
Os1 Os 0.0000 0.0000 0.7129
```